The following is a DFT calculation (PBE-GGA) of a relaxed structure of Sr3Pt2.

Lattice parameters (Å, degrees): 10.830 10.830 10.830 23.42 23.42 23.42
Positions (direct):
Sr  0.773  0.773  0.773
Sr  0.000  0.000  0.000
Pt  0.391  0.391  0.391
Sr  0.227  0.227  0.227
Pt  0.609  0.609  0.609

Relative energy among the computed polymorphs ... 0.127 eV/atom
SG ... R-3m (166)
Formation energy from the elements ... -0.638 eV/atom
Mass density ... 6.15 g cm⁻³
D(E_F) ... 1.7 states/eV/f.u.

=====

The following is a DFT calculation (PBE-GGA) of a relaxed structure of SrPt3.

Lattice parameters (Å, degrees): 4.780 4.780 4.780 60.00 60.00 60.00
Positions (direct):
Pt  0.500  0.500  0.500
Sr  0.750  0.750  0.750
Pt  0.000  0.000  0.000
Pt  0.250  0.250  0.250

SG ... Fm-3m (225)
Formation energy from the elements ... -0.144 eV/atom
Mass density ... 14.47 g cm⁻³
D(E_F) ... 1.1 states/eV/f.u.

=====

The following is a DFT calculation (PBE-GGA) of a relaxed structure of Sr3Pt.

Lattice parameters (Å, degrees): 4.372 7.354 7.355 49.38 90.00 90.00
Positions (direct):
Sr  0.500  0.151  0.150
Pt  0.000  0.000  0.000
Sr  0.000  0.500  0.500
Sr  0.500  0.849  0.850

SG ... Cmmm (65)
Formation energy from the elements ... -0.481 eV/atom
Mass density ... 4.24 g cm⁻³
D(E_F) ... 2.6 states/eV/f.u.

=====

The following is a DFT calculation (PBE-GGA) of a relaxed structure of Sr3Pt.

Lattice parameters (Å, degrees): 4.126 10.542 7.551 90.00 90.00 90.00
Positions (direct):
Sr  0.500  0.178  0.762
Pt  0.000  0.315  0.000
Sr  0.000  0.474  0.500
Sr  0.000  0.822  0.262
Sr  0.500  0.526  0.000
Sr  0.500  0.178  0.238
Sr  0.000  0.822  0.738
Pt  0.500  0.685  0.500

SG ... Pmmn (59)
Formation energy from the elements ... -0.445 eV/atom
Mass density ... 4.63 g cm⁻³
D(E_F) ... 2.9 states/eV/f.u.